Record 1
Material: CaNdCuRh
Method: DFT, PBE-GGA
State: optimized geometry

Output
- space-group type = Amm2

a b c (Å): 4.188 5.901 5.901
angles (deg): 39.68 90.00 90.00
Sites, in units of the cell vectors:
Ca 0.000 0.000 0.000
Nd 0.500 0.720 0.720
Cu 0.500 0.428 0.428
Rh 0.000 0.283 0.283

Record 2
Material: KFe2Ir
Method: DFT, PBE-GGA
State: optimized geometry

Output
- space-group type = Fm-3m

a b c (Å): 4.560 4.560 4.560
angles (deg): 60.00 60.00 60.00
Sites, in units of the cell vectors:
K 0.000 0.000 0.000
Fe 0.250 0.250 0.250
Fe 0.750 0.750 0.750
Ir 0.500 0.500 0.500

Record 3
Material: TaCuPdRh
Method: DFT, PBE-GGA
State: optimized geometry

Output
- space-group type = F-43m

a b c (Å): 4.390 4.390 4.390
angles (deg): 60.00 60.00 60.00
Sites, in units of the cell vectors:
Ta 0.000 0.000 0.000
Cu 0.500 0.500 0.500
Pd 0.250 0.250 0.250
Rh 0.750 0.750 0.750

Record 4
Material: PrTm2Hg8
Method: DFT, PBE-GGA
State: optimized geometry

Output
- space-group type = C2/m

a b c (Å): 8.510 8.510 7.631
angles (deg): 116.57 116.57 34.77
Sites, in units of the cell vectors:
Pr 0.000 0.000 0.000
Tm 0.305 0.305 0.305
Tm 0.695 0.695 0.695
Hg 0.151 0.151 0.445
Hg 0.152 0.152 0.860
Hg 0.345 0.345 0.844
Hg 0.500 0.500 0.299
Hg 0.500 0.500 0.701
Hg 0.655 0.655 0.156
Hg 0.848 0.848 0.140
Hg 0.849 0.849 0.555

Record 5
Material: BaOsO2
Method: DFT, PBE-GGA
State: optimized geometry

Output
- energy relative to the elements, uncorrected (eV per formula unit) = 0.2
- space-group type = Fm-3m

a b c (Å): 4.419 4.419 4.419
angles (deg): 60.00 60.00 60.00
Sites, in units of the cell vectors:
Ba 0.000 0.000 0.000
Os 0.500 0.500 0.500
O 0.250 0.250 0.250
O 0.750 0.750 0.750

Record 6
Material: TbHo2Mg6
Method: DFT, PBE-GGA
State: optimized geometry

Output
- space-group type = P6/mmm

a b c (Å): 9.056 9.056 3.280
angles (deg): 90.00 90.00 120.00
Sites, in units of the cell vectors:
Tb 0.000 0.000 0.000
Ho 0.333 0.667 0.000
Ho 0.667 0.333 0.000
Mg 0.000 0.334 0.500
Mg 0.000 0.666 0.500
Mg 0.334 0.000 0.500
Mg 0.334 0.334 0.500
Mg 0.666 0.000 0.500
Mg 0.666 0.666 0.500

Record 7
Material: CaAlPt3
Method: DFT, PBE-GGA
State: optimized geometry

Output
- space-group type = Pm-3m

a b c (Å): 4.918 4.918 4.918
angles (deg): 90.00 90.00 90.00
Sites, in units of the cell vectors:
Ca 0.000 0.000 0.000
Al 0.500 0.500 0.500
Pt 0.000 0.000 0.500
Pt 0.000 0.500 0.000
Pt 0.500 0.000 0.000

Record 8
Material: LaPPtRh
Method: DFT, PBE-GGA
State: optimized geometry

Output
- space-group type = P4/nmm

a b c (Å): 4.009 4.009 9.610
angles (deg): 90.00 90.00 90.00
Sites, in units of the cell vectors:
La 0.250 0.250 0.221
La 0.750 0.750 0.779
P 0.250 0.250 0.638
P 0.750 0.750 0.362
Pt 0.250 0.250 0.893
Pt 0.750 0.750 0.107
Rh 0.250 0.750 0.500
Rh 0.750 0.250 0.500

no.,E_tot (eV per atom)
1,-4.965
2,-5.668
3,-7.415
4,-1.757
5,-5.728
6,-2.664
7,-3.654
8,-7.012